Record 1
First-principles (PBE) data for a geometry-optimized Pm2Hg3Pd4 structure, as listed in Alexandria via LeMat-Bulk.

Summary:
Total energy ... -36.172 eV for the cell shown

abc: 4.8382 4.8473 9.0909
angles: 83.54 83.71 62.37
With the nearest neighbours (Å) after each atom.
Space group P-1 (No. 2)
Asymmetric unit:
1 Pm 0.1540 0.1551 0.2246 x2  7 Pd 2.90-3.06, 1 Hg 3.19
2 Hg 0.1973 0.1968 0.5854 x2  5 Pd 2.86-2.98, 2 Hg 3.02, 1 Pm 3.19
3 Hg 0.5000 0.5000 0.0000 x1  8 Pd 2.94-3.10, 2 Pm 3.29
4 Pd 0.1690 0.1675 0.9043 x2  4 Hg 2.88-2.99, 4 Pm 2.90-3.06, 1 Pd 3.09
5 Pd 0.4768 0.4773 0.3436 x2  5 Hg 2.86-3.10, 1 Pd 2.92, 3 Pm 3.01-3.04

---

Record 2
First-principles (PBE) data for a geometry-optimized CaZr2Tl structure, as listed in Alexandria via LeMat-Bulk.

Summary:
Total energy ... -21.609 eV for the cell shown

abc: 3.2710 3.2710 9.7745
angles: 90.00 90.00 90.00
With the nearest neighbours (Å) after each atom.
Space group P4mm (No. 99)
Asymmetric unit:
1 Ca 0.0000 0.0000 0.0000 x1  4 Ca 3.27, 4 Tl 3.34
2 Zr 0.0000 0.0000 0.4876 x1  8 Zr 3.13-3.27, 4 Tl 3.30
3 Zr 0.5000 0.5000 0.7031 x1  8 Zr 3.13-3.27
4 Tl 0.5000 0.5000 0.2470 x1  4 Tl 3.27, 4 Zr 3.30, 4 Ca 3.34

---

Record 3
First-principles (PBE) data for a geometry-optimized Cs2SbRhW structure, as listed in Alexandria via LeMat-Bulk.

Summary:
Energy relative to the elements, uncorrected ... 1.23 eV/atom

abc: 6.7022 6.7022 4.7395
angles: 90.00 90.00 90.00
With the nearest neighbours (Å) after each atom.
Space group P4/mmm (No. 123)
Asymmetric unit:
1 Cs 0.0000 0.5000 0.0000 x2  2 Rh 3.35
2 Sb 0.0000 0.0000 0.5000 x1  8 Cs 4.10
3 Rh 0.5000 0.5000 0.0000 x1  2 W 2.37
4 W 0.5000 0.5000 0.5000 x1  2 Rh 2.37

---

Record 4
First-principles (PBE) data for a geometry-optimized K2PuSe2Br2 structure, as listed in Alexandria via LeMat-Bulk.

Summary:
Energy relative to the elements, uncorrected ... -1.44 eV/atom

abc: 5.4802 5.4802 16.9397
angles: 90.00 90.00 90.00
With the nearest neighbours (Å) after each atom.
Space group I4/mmm (No. 139)
Asymmetric unit:
1 K 0.0000 0.0000 0.1350 x4  1 Br 3.30, 4 Se 3.57
2 Pu 0.0000 0.0000 0.5000 x2  4 Se 2.74, 2 Br 2.89
3 Se 0.0000 0.5000 0.0000 x4  2 Pu 2.74
4 Br 0.0000 0.0000 0.3296 x4  1 Pu 2.89

---

Record 5
First-principles (PBE) data for a geometry-optimized CaBe2Cu structure, as listed in Alexandria via LeMat-Bulk.

Summary:
Total energy ... -12.460 eV for the cell shown

abc: 2.8599 2.9419 6.8308
angles: 90.00 90.00 90.00
With the nearest neighbours (Å) after each atom.
Space group Pmm2 (No. 25)
Asymmetric unit:
1 Ca 0.0000 0.0000 0.0000 x1  4 Ca 2.86-2.94, 4 Be 3.02, 4 Cu 3.08
2 Be 0.0000 0.0000 0.5104 x1  4 Be 2.34, 4 Cu 2.37
3 Be 0.5000 0.5000 0.6756 x1  1 Cu 2.31, 4 Be 2.34
4 Cu 0.5000 0.5000 0.3371 x1  5 Be 2.31-2.37

---

Record 6
First-principles (PBE) data for a geometry-optimized La7DyHo3 structure, as listed in Alexandria via LeMat-Bulk.

Summary:
Total energy ... -50.909 eV for the cell shown

abc: 7.2697 7.2697 8.6898
angles: 90.00 90.00 120.00
With the nearest neighbours (Å) after each atom.
Space group P3m1 (No. 156)
Asymmetric unit:
1 La 0.0000 0.0000 0.0000 x1  9 La 3.58-3.64, 3 Ho 3.70
2 La 0.0032 0.5016 0.9692 x3  2 Ho 3.48, 8 La 3.60-3.78, 1 Dy 3.64
3 La 0.1685 0.3371 0.3325 x3  2 Ho 3.48, 7 La 3.58-3.78, 2 Dy 3.64
4 Dy 0.6667 0.3333 0.3098 x1  3 Ho 3.62, 9 La 3.64
5 Ho 0.3346 0.1673 0.6499 x3  5 La 3.48-3.70, 1 Dy 3.62, 4 Ho 3.62-3.65

---

Record 7
First-principles (PBE) data for a geometry-optimized RbLaCl2O structure, as listed in Alexandria via LeMat-Bulk.

Summary:
Energy relative to the elements, uncorrected ... -2.43 eV/atom

abc: 5.8874 5.8874 4.4097
angles: 90.00 90.00 90.00
With the nearest neighbours (Å) after each atom.
Space group P4/mmm (No. 123)
Asymmetric unit:
1 Rb 0.0000 0.0000 0.0000 x1  8 Cl 3.68
2 La 0.5000 0.5000 0.5000 x1  2 O 2.20
3 Cl 0.0000 0.5000 0.5000 x2  2 La 2.94
4 O 0.5000 0.5000 0.0000 x1  2 La 2.20

---

Record 8
First-principles (PBE) data for a geometry-optimized KTcBiAs2 structure, as listed in Alexandria via LeMat-Bulk.

Summary:
Total energy ... -15.075 eV for the cell shown

abc: 5.4101 5.4101 5.0733
angles: 90.00 90.00 90.00
With the nearest neighbours (Å) after each atom.
Space group P4/mmm (No. 123)
Asymmetric unit:
1 K 0.0000 0.0000 0.0000 x1  2 Tc 2.54, 4 As 2.71
2 Tc 0.0000 0.0000 0.5000 x1  2 K 2.54
3 Bi 0.5000 0.5000 0.5000 x1  8 As 3.71, 4 Tc 3.83
4 As 0.0000 0.5000 0.0000 x2  2 K 2.71

---

Record 9
First-principles (PBE) data for a geometry-optimized AsIr2Os structure, as listed in Alexandria via LeMat-Bulk.

Summary:
Total energy ... -63.332 eV for the cell shown

abc: 2.7377 4.8051 9.3456
angles: 90.00 90.00 90.00
With the nearest neighbours (Å) after each atom.
Space group Cmmm (No. 65)
Asymmetric unit:
1 As 0.0000 0.0000 0.0000 x2  6 As 2.74-2.77, 4 Ir 2.74
2 Ir 0.0000 0.5000 0.2539 x4  2 Os 2.68, 6 Ir 2.74-2.77, 2 As 2.74
3 Os 0.0000 0.0000 0.5000 x2  4 Ir 2.68, 6 Os 2.74-2.77

---

Record 10
First-principles (PBE) data for a geometry-optimized In2CoNi structure, as listed in Alexandria via LeMat-Bulk.

Summary:
Total energy ... -17.687 eV for the cell shown

abc: 3.0614 3.0614 7.2832
angles: 90.00 90.00 90.00
With the nearest neighbours (Å) after each atom.
Space group P4mm (No. 99)
Asymmetric unit:
1 In 0.0000 0.0000 0.0000 x1  4 Co 2.74, 1 Ni 2.89, 4 In 3.06
2 In 0.5000 0.5000 0.3752 x1  4 Ni 2.73, 1 Co 2.87
3 Co 0.5000 0.5000 0.7690 x1  4 Ni 2.48, 4 In 2.74
4 Ni 0.0000 0.0000 0.6033 x1  4 Co 2.48, 4 In 2.73

---

Record 11
First-principles (PBE) data for a geometry-optimized La2NiAgN structure, as listed in Alexandria via LeMat-Bulk.

Summary:
Energy relative to the elements, uncorrected ... -0.60 eV/atom

abc: 5.2574 5.2574 3.7532
angles: 90.00 90.00 90.00
With the nearest neighbours (Å) after each atom.
Space group P4/mmm (No. 123)
Asymmetric unit:
1 La 0.0000 0.5000 0.0000 x2  2 N 2.63
2 Ni 0.0000 0.0000 0.5000 x1  2 N 1.88
3 Ag 0.5000 0.5000 0.5000 x1  8 La 3.23
4 N 0.0000 0.0000 0.0000 x1  2 Ni 1.88

---

Record 12
First-principles (PBE) data for a geometry-optimized ErPd8Pb2 structure, as listed in Alexandria via LeMat-Bulk.

Summary:
Total energy ... -116.531 eV for the cell shown

abc: 15.0702 4.1736 6.6469
angles: 90.00 109.47 90.00
With the nearest neighbours (Å) after each atom.
Space group C2/m (No. 12)
Asymmetric unit:
1 Er 0.0000 0.0000 0.0000 x2  12 Pd 2.88-2.94
2 Pd 0.0382 0.5000 0.7272 x4  9 Pd 2.80-2.99, 1 Pb 2.82, 2 Er 2.94
3 Pd 0.0863 0.0000 0.4582 x4  8 Pd 2.80-3.00, 2 Pb 2.85, 1 Er 2.89
4 Pd 0.1388 0.5000 0.1932 x4  7 Pd 2.89-3.11, 2 Er 2.93, 3 Pb 2.94-2.97
5 Pd 0.1762 0.0000 0.9177 x4  3 Pb 2.74-2.87, 1 Er 2.88, 7 Pd 2.90-2.98
6 Pb 0.2138 0.5000 0.6613 x4  9 Pd 2.74-2.97

---

no.,density of states at the Fermi level (states/eV/cell)
1,3.89
2,2.71
3,4.85
4,15.80
5,1.70
6,16.50
7,0.00
8,6.09
9,10.75
10,4.45
11,5.21
12,10.56